[1]
The following is a PBE calculation of CaThCuGe after structural relaxation, from Alexandria via LeMat-Bulk.

Unit cell a=5.1003 b=5.1003 c=5.1003 alpha=60.00 beta=60.00 gamma=60.00
Atoms (fractional coordinates):
Ca1 0.0000 0.0000 0.0000
Th1 0.5000 0.5000 0.5000
Cu1 0.7500 0.7500 0.7500
Ge1 0.2500 0.2500 0.2500

Calculated values
Calculated formation energy: -30 kJ per mole of atoms
SG: F-43m, No. 216



[2]
The following is a PBE calculation of HfPt after structural relaxation, from Alexandria via LeMat-Bulk.

Unit cell a=7.3681 b=7.3681 c=7.3681 alpha=90.00 beta=90.00 gamma=90.00
Atoms (fractional coordinates):
Hf1 0.0000 0.2500 0.5000
Hf2 0.0000 0.7500 0.5000
Hf3 0.2500 0.5000 0.0000
Hf4 0.5000 0.0000 0.2500
Hf5 0.5000 0.0000 0.7500
Hf6 0.7500 0.5000 0.0000
Pt1 0.0000 0.5000 0.2500
Pt2 0.0000 0.5000 0.7500
Pt3 0.2500 0.0000 0.5000
Pt4 0.5000 0.2500 0.0000
Pt5 0.5000 0.7500 0.0000
Pt6 0.7500 0.0000 0.5000

Calculated values
Calculated formation energy: -3 kJ per mole of atoms
SG: Pm-3n, No. 223



[3]
The following is a PBE calculation of La2Er3Tl4 after structural relaxation, from Alexandria via LeMat-Bulk.

Unit cell a=9.2198 b=9.2198 c=9.0674 alpha=90.00 beta=90.00 gamma=134.31
Atoms (fractional coordinates):
La1 0.1092 0.8908 0.9212
La2 0.3908 0.6092 0.4212
La3 0.6092 0.3908 0.5788
La4 0.8908 0.1092 0.0788
Er1 0.0000 0.0000 0.5000
Er2 0.0327 0.4673 0.7500
Er3 0.4673 0.0327 0.2500
Er4 0.5000 0.5000 0.0000
Er5 0.5327 0.9673 0.7500
Er6 0.9673 0.5327 0.2500
Tl1 0.1827 0.8173 0.5428
Tl2 0.2116 0.2884 0.7500
Tl3 0.2884 0.2116 0.2500
Tl4 0.3173 0.6827 0.0428
Tl5 0.6827 0.3173 0.9572
Tl6 0.7116 0.7884 0.7500
Tl7 0.7884 0.7116 0.2500
Tl8 0.8173 0.1827 0.4572

Calculated values
Calculated formation energy: -27 kJ per mole of atoms
SG: Cmce, No. 64



[4]
The following is a PBE calculation of BaPuRuN3 after structural relaxation, from Alexandria via LeMat-Bulk.

Unit cell a=6.9391 b=3.5987 c=8.9771 alpha=90.00 beta=105.26 gamma=90.00
Atoms (fractional coordinates):
Ba1 0.2002 0.2500 0.2244
Ba2 0.7998 0.7500 0.7756
Pu1 0.3480 0.2500 0.8489
Pu2 0.6520 0.7500 0.1511
Ru1 0.1334 0.7500 0.5673
Ru2 0.8666 0.2500 0.4327
N1 0.0529 0.2500 0.6490
N2 0.3216 0.7500 0.0102
N3 0.3978 0.7500 0.7141
N4 0.6022 0.2500 0.2859
N5 0.6784 0.2500 0.9898
N6 0.9471 0.7500 0.3510

Calculated values
Energy relative to the elements, uncorrected: -565 meV per atom
SG: P2_1/m, No. 11



[5]
The following is a PBE calculation of Pm4SmSc4 after structural relaxation, from Alexandria via LeMat-Bulk.

Unit cell a=7.7745 b=7.7745 c=7.7745 alpha=95.67 beta=95.67 gamma=143.37
Atoms (fractional coordinates):
Pm1 0.0000 0.3269 0.3269
Pm2 0.0000 0.6731 0.6731
Pm3 0.3269 0.0000 0.3269
Pm4 0.6731 0.0000 0.6731
Sm1 0.0000 0.0000 0.0000
Sc1 0.3334 0.3334 0.6667
Sc2 0.3334 0.6666 0.0000
Sc3 0.6666 0.3334 0.0000
Sc4 0.6666 0.6666 0.3333

Calculated values
Calculated formation energy: 6 kJ per mole of atoms
SG: I4/mmm, No. 139



[6]
The following is a PBE calculation of RbAc2CdSe4 after structural relaxation, from Alexandria via LeMat-Bulk.

Unit cell a=7.9718 b=7.9718 c=15.6274 alpha=90.00 beta=90.00 gamma=146.46
Atoms (fractional coordinates):
Rb1 0.1164 0.8836 0.7500
Rb2 0.8836 0.1164 0.2500
Ac1 0.3726 0.6274 0.5559
Ac2 0.3726 0.6274 0.9441
Ac3 0.6274 0.3726 0.0559
Ac4 0.6274 0.3726 0.4441
Cd1 0.1556 0.8444 0.2500
Cd2 0.8444 0.1556 0.7500
Se1 0.0000 0.0000 0.0000
Se2 0.0000 0.0000 0.5000
Se3 0.2629 0.7371 0.1109
Se4 0.2629 0.7371 0.3891
Se5 0.4373 0.5627 0.7500
Se6 0.5627 0.4373 0.2500
Se7 0.7371 0.2629 0.6109
Se8 0.7371 0.2629 0.8891

Calculated values
Energy relative to the elements, uncorrected: -1488 meV per atom
SG: Cmcm, No. 63



[7]
The following is a PBE calculation of Hg2Pt after structural relaxation, from Alexandria via LeMat-Bulk.

Unit cell a=8.0249 b=8.0249 c=4.8743 alpha=90.00 beta=90.00 gamma=158.15
Atoms (fractional coordinates):
Hg1 0.0528 0.9472 0.7500
Hg2 0.2771 0.7229 0.2500
Hg3 0.7229 0.2771 0.7500
Hg4 0.9472 0.0528 0.2500
Pt1 0.3860 0.6140 0.7500
Pt2 0.6140 0.3860 0.2500

Calculated values
Calculated formation energy: 14 kJ per mole of atoms
SG: Cmcm, No. 63
Distance to the lowest polymorph of the same formula: 0.2114 eV per atom



[8]
The following is a PBE calculation of La2Tb5Nd2 after structural relaxation, from Alexandria via LeMat-Bulk.

Unit cell a=9.0918 b=9.0918 c=9.9494 alpha=98.43 beta=98.43 gamma=22.29
Atoms (fractional coordinates):
La1 0.1644 0.1644 0.2208
La2 0.8356 0.8356 0.7792
Tb1 0.0000 0.0000 0.0000
Tb2 0.1729 0.1729 0.8650
Tb3 0.3292 0.3292 0.4595
Tb4 0.6708 0.6708 0.5405
Tb5 0.8271 0.8271 0.1350
Nd1 0.4951 0.4951 0.3124
Nd2 0.5049 0.5049 0.6876

Calculated values
Calculated formation energy: 13 kJ per mole of atoms
SG: C2/m, No. 12
Distance to the lowest polymorph of the same formula: 0.0000 eV per atom



[9]
The following is a PBE calculation of ErReW after structural relaxation, from Alexandria via LeMat-Bulk.

Unit cell a=8.7851 b=5.4854 c=5.4854 alpha=60.24 beta=90.00 gamma=90.00
Atoms (fractional coordinates):
Er1 0.1842 0.0000 0.0000
Er2 0.3084 0.6658 0.6658
Er3 0.6916 0.6658 0.6658
Er4 0.8158 0.0000 0.0000
Re1 0.0000 0.5051 0.5051
Re2 0.0000 0.5046 0.9904
Re3 0.0000 0.9904 0.5046
Re4 0.5000 0.1624 0.1624
W1 0.2447 0.3316 0.3316
W2 0.5000 0.1646 0.6724
W3 0.5000 0.6724 0.1646
W4 0.7553 0.3316 0.3316

Calculated values
Calculated formation energy: -11 kJ per mole of atoms
SG: Amm2, No. 38
Distance to the lowest polymorph of the same formula: 0.0111 eV per atom



Computed density of states at the Fermi level (states/eV per atom) in order:
0.8465, 0.6766, 0.9829, 1.1215, 1.5036, 0.2794, 0.3061, 1.7120, 0.7968